First-principles (GGA-PBE) data for a relaxed CeTlInAg crystal, as listed in Alexandria via LeMat-Bulk.

Computed properties:
- V (Å³ per atom) = 25.15
- total magnetic moment (μB per formula unit) = 1.04
- DFT formation energy (kJ/mol of formula units) = -75
- final energy (eV/atom) = -3.6663
- density (g/cm3) = 9.36

```
CeTlInAg
1.0
5.2207 0.0000 0.0000
2.6103 4.5212 0.0000
2.6103 1.5071 4.2626
Tl In Ag Ce
1 1 1 1
Direct
0.7500 0.7500 0.7500 Tl
0.5000 0.5000 0.5000 In
0.2500 0.2500 0.2500 Ag
0.0000 0.0000 0.0000 Ce
```